1.
FeNiAsBr2 | Alexandria | SCAN | single point on PBEsol structure; formation energy (no corrections) = 0.7118 eV per atom; total energy = -17.971 eV/atom; symmetry = No. 123
1.0
4.861 0.000 0.000
0.000 4.861 0.000
0.000 0.000 4.359
Fe Ni As Br
1 1 1 2
Direct
0.000 0.000 0.000
0.500 0.500 0.500
0.000 0.000 0.500
0.000 0.500 0.000
0.500 0.000 0.000

=====

2.
FeAs2PBr | Alexandria | SCAN | single point on PBEsol structure; formation energy (no corrections) = 0.8348 eV per atom; total energy = -16.839 eV/atom; symmetry = No. 123
1.0
4.404 0.000 0.000
0.000 4.404 0.000
0.000 0.000 4.919
Fe As P Br
1 2 1 1
Direct
0.000 0.000 0.000
0.000 0.500 0.000
0.500 0.000 0.000
0.500 0.500 0.500
0.000 0.000 0.500

=====

3.
FeAs2PBr | Alexandria | SCAN | single point on PBEsol structure; formation energy (no corrections) = 1.0112 eV per atom; total energy = -16.663 eV/atom; symmetry = No. 123
1.0
4.738 0.000 0.000
0.000 4.738 0.000
0.000 0.000 4.818
Fe As P Br
1 2 1 1
Direct
0.000 0.000 0.000
0.000 0.500 0.500
0.500 0.000 0.500
0.500 0.500 0.500
0.500 0.500 0.000

=====

4.
FeAs2PdBr | Alexandria | SCAN | single point on PBEsol structure; formation energy (no corrections) = 0.5273 eV per atom; total energy = -21.622 eV/atom; symmetry = No. 123
1.0
4.354 0.000 0.000
0.000 4.354 0.000
0.000 0.000 5.067
Fe As Pd Br
1 2 1 1
Direct
0.000 0.000 0.000
0.000 0.500 0.000
0.500 0.000 0.000
0.500 0.500 0.500
0.000 0.000 0.500

=====

5.
FeAsRhBr2 | Alexandria | SCAN | single point on PBEsol structure; formation energy (no corrections) = 0.5399 eV per atom; total energy = -21.662 eV/atom; symmetry = No. 123
1.0
5.043 0.000 0.000
0.000 5.043 0.000
0.000 0.000 4.615
Fe As Rh Br
1 1 1 2
Direct
0.000 0.000 0.000
0.500 0.500 0.000
0.500 0.500 0.500
0.000 0.500 0.500
0.500 0.000 0.500

=====

6.
FeAs2SeBr | Alexandria | SCAN | single point on PBEsol structure; formation energy (no corrections) = 0.5176 eV per atom; total energy = -19.092 eV/atom; symmetry = No. 123
1.0
4.515 0.000 0.000
0.000 4.515 0.000
0.000 0.000 4.752
Fe As Se Br
1 2 1 1
Direct
0.000 0.000 0.000
0.000 0.500 0.000
0.500 0.000 0.000
0.500 0.500 0.500
0.000 0.000 0.500

=====

What did the sixth record say?
FeAs2SeBr | Alexandria | SCAN | single point on PBEsol structure; formation energy (no corrections) = 0.5176 eV per atom; total energy = -19.092 eV/atom; symmetry = No. 123
1.0
4.515 0.000 0.000
0.000 4.515 0.000
0.000 0.000 4.752
Fe As Se Br
1 2 1 1
Direct
0.000 0.000 0.000
0.000 0.500 0.000
0.500 0.000 0.000
0.500 0.500 0.500
0.000 0.000 0.500